## a
# RbP3H (GGA-PBE, relaxed)
data_RbP3H
_symmetry_space_group_name_H-M 'P m -3 m'
_symmetry_Int_Tables_number 221
_symmetry_space_group_name_Hall '-P 4 2 3'
_cell_length_a 7.079
_cell_length_b 7.079
_cell_length_c 7.079
_cell_angle_alpha 90.00
_cell_angle_beta 90.00
_cell_angle_gamma 90.00
loop_
_atom_site_label
_atom_site_type_symbol
_atom_site_fract_x
_atom_site_fract_y
_atom_site_fract_z
Rb1 Rb 0.000 0.000 0.000
P1 P 0.000 0.000 0.500
H1 H 0.500 0.500 0.500
# DOS at the Fermi energy = 0.9060 states/eV/atom
# magnetic moment = 9.0 μB per cell

***

## b
# RbP3H (GGA-PBE, relaxed)
data_RbP3H
_symmetry_space_group_name_H-M 'P m -3 m'
_symmetry_Int_Tables_number 221
_symmetry_space_group_name_Hall '-P 4 2 3'
_cell_length_a 4.421
_cell_length_b 4.421
_cell_length_c 4.421
_cell_angle_alpha 90.00
_cell_angle_beta 90.00
_cell_angle_gamma 90.00
loop_
_atom_site_label
_atom_site_type_symbol
_atom_site_fract_x
_atom_site_fract_y
_atom_site_fract_z
Rb1 Rb 0.000 0.000 0.000
P1 P 0.000 0.500 0.500
H1 H 0.500 0.500 0.500
# DOS at the Fermi energy = 0.3839 states/eV/atom
# magnetic moment = 0.0 μB per cell

***

Relative stability in kJ/mol of atoms, measured from the most stable structure: a 121.7; b 0.0